[1]
# K4YU3S8

Crystalline K4YU3S8 at its relaxed geometry (PBE, Alexandria via LeMat-Bulk).

Cell: 8.090 8.772 8.090 Å, 117.46 120.00 90.00°
Fractional coordinates of all 16 atoms:
U (0.000, 0.500, 0.500)
S (0.235, 0.704, 0.970)
K (0.000, 0.000, 0.000)
Y (0.000, 0.500, 0.000)
S (0.735, 0.704, 0.469)
S (0.735, 0.704, 0.970)
U (0.500, 0.500, 0.500)
S (0.765, 0.296, 0.531)
S (0.265, 0.296, 0.531)
S (0.765, 0.296, 0.030)
K (0.500, 0.000, 0.500)
K (0.500, 0.000, 0.000)
K (0.000, 0.000, 0.500)
S (0.265, 0.296, 0.030)
U (0.500, 0.500, 0.000)
S (0.235, 0.704, 0.469)

Raw formation energy ... -1.50 eV/atom
Crystal system ... trigonal
Space group ... R-3m, No. 166
E_tot ... -0.4674 Ry per atom

***

[2]
# TiN

Crystalline TiN at its relaxed geometry (PBE, Alexandria via LeMat-Bulk).

Cell: 6.906 6.906 4.159 Å, 90.00 90.00 90.00°
Fractional coordinates of all 16 atoms:
Ti (0.663, 0.866, 0.500)
Ti (0.837, 0.634, 0.000)
N (0.677, 0.878, 0.000)
N (0.323, 0.122, 0.000)
N (0.122, 0.677, 0.000)
Ti (0.134, 0.663, 0.500)
Ti (0.634, 0.163, 0.000)
N (0.177, 0.378, 0.500)
N (0.823, 0.622, 0.500)
N (0.878, 0.323, 0.000)
Ti (0.337, 0.134, 0.500)
Ti (0.866, 0.337, 0.500)
N (0.378, 0.823, 0.500)
N (0.622, 0.177, 0.500)
Ti (0.163, 0.366, 0.000)
Ti (0.366, 0.837, 0.000)

Raw formation energy ... -1.54 eV/atom
Crystal system ... tetragonal
Space group ... I4/m, No. 87
E_tot ... -0.7095 Ry per atom

***

[3]
# RbBaInF6

Crystalline RbBaInF6 at its relaxed geometry (PBE, Alexandria via LeMat-Bulk).

Cell: 8.477 8.125 7.998 Å, 120.53 122.00 90.00°
Fractional coordinates of all 18 atoms:
F (0.883, 0.133, 0.766)
F (0.117, 0.867, 0.234)
F (0.805, 0.172, 0.266)
In (0.500, 0.000, 0.000)
In (0.500, 0.500, 0.000)
F (0.195, 0.828, 0.734)
Rb (0.154, 0.404, 0.308)
F (0.461, 0.594, 0.266)
F (0.539, 0.828, 0.734)
F (0.539, 0.406, 0.734)
F (0.461, 0.172, 0.266)
Ba (0.500, 0.000, 0.500)
F (0.427, 0.177, 0.853)
F (0.195, 0.406, 0.734)
Rb (0.846, 0.596, 0.692)
Ba (0.000, 0.000, 0.500)
F (0.573, 0.823, 0.147)
F (0.805, 0.594, 0.266)

Raw formation energy ... -3.04 eV/atom
Crystal system ... orthorhombic
Space group ... Imma, No. 74
E_tot ... -0.3609 Ry per atom